DFT (GGA-PBE) results for ScAlI2N after structural relaxation.

abc: 5.9905 5.9905 4.0118
angles: 90.00 90.00 90.00
Positions (direct):
Sc 0.0000 0.0000 0.0000
Al 0.5000 0.5000 0.5000
I 0.0000 0.5000 0.0000
I 0.5000 0.0000 0.0000
N 0.0000 0.0000 0.5000

Summary:
**N(E_F)**: 0.366 states/eV/atom
**Relative energy among the computed polymorphs**: 0.000 eV/atom
**Size of the total moment**: 1.0 μB per formula unit
**Raw formation energy**: -0.12 eV/atom
**Symmetry**: P4/mmm, No. 123

=====

DFT (GGA-PBE) results for ScAlIN2 after structural relaxation.

abc: 4.1724 4.1724 6.0107
angles: 90.00 90.00 90.00
Positions (direct):
Sc 0.0000 0.0000 0.0000
Al 0.5000 0.5000 0.5000
I 0.0000 0.0000 0.5000
N 0.0000 0.5000 0.0000
N 0.5000 0.0000 0.0000

Summary:
**N(E_F)**: 0.790 states/eV/atom
**Relative energy among the computed polymorphs**: 0.238 eV/atom
**Size of the total moment**: 0.2 μB per formula unit
**Raw formation energy**: 0.65 eV/atom
**Symmetry**: P4/mmm, No. 123

=====

DFT (GGA-PBE) results for AlSeI2N after structural relaxation.

abc: 6.1851 6.1851 3.7160
angles: 90.00 90.00 90.00
Positions (direct):
Al 0.0000 0.0000 0.0000
Se 0.5000 0.5000 0.5000
I 0.0000 0.5000 0.5000
I 0.5000 0.0000 0.5000
N 0.5000 0.5000 0.0000

Summary:
**N(E_F)**: 0.364 states/eV/atom
**Relative energy among the computed polymorphs**: 0.316 eV/atom
**Size of the total moment**: 0.0 μB per formula unit
**Raw formation energy**: 0.75 eV/atom
**Symmetry**: P4/mmm, No. 123

=====

DFT (GGA-PBE) results for AlSe2IN after structural relaxation.

abc: 5.2760 5.2760 3.6197
angles: 90.00 90.00 90.00
Positions (direct):
Al 0.0000 0.0000 0.0000
Se 0.0000 0.5000 0.0000
Se 0.5000 0.0000 0.0000
I 0.5000 0.5000 0.5000
N 0.0000 0.0000 0.5000

Summary:
**N(E_F)**: 0.878 states/eV/atom
**Relative energy among the computed polymorphs**: 0.000 eV/atom
**Size of the total moment**: 0.0 μB per formula unit
**Raw formation energy**: 0.42 eV/atom
**Symmetry**: P4/mmm, No. 123